This record from Alexandria via LeMat-Bulk describes a relaxed structure of Tb4TlSn. The functional is PBE.

As for the formation energy: -0.18 eV/atom.

Cell: 9.017 9.017 7.529 Å, 101.67 101.67 39.32°
Positions (direct):
Tb  0.055  0.803  0.558
Tb  0.197  0.945  0.942
Tb  0.225  0.480  0.893
Tb  0.480  0.225  0.393
Tb  0.520  0.775  0.607
Tb  0.775  0.520  0.107
Tb  0.803  0.055  0.058
Tb  0.945  0.197  0.442
Tl  0.000  0.500  0.500
Tl  0.500  0.000  0.000
Sn  0.371  0.629  0.250
Sn  0.629  0.371  0.750

This record from Alexandria via LeMat-Bulk describes a relaxed structure of Tb5Tl4Sn. The functional is PBE.

As for the formation energy: -0.41 eV/atom.

Cell: 3.642 3.642 20.625 Å, 90.00 90.00 90.00°
Positions (direct):
Tb  0.000  0.000  0.000
Tb  0.000  0.000  0.200
Tb  0.000  0.000  0.402
Tb  0.000  0.000  0.598
Tb  0.000  0.000  0.800
Tl  0.500  0.500  0.100
Tl  0.500  0.500  0.299
Tl  0.500  0.500  0.701
Tl  0.500  0.500  0.900
Sn  0.500  0.500  0.500

This record from Alexandria via LeMat-Bulk describes a relaxed structure of Tb6Tl2Sn. The functional is PBE.

As for the formation energy: -0.17 eV/atom.

Cell: 8.988 8.988 8.988 Å, 146.49 131.74 60.03°
Positions (direct):
Tb  0.083  0.333  0.750
Tb  0.249  0.000  0.249
Tb  0.417  0.667  0.750
Tb  0.583  0.333  0.250
Tb  0.751  0.000  0.751
Tb  0.917  0.667  0.250
Tl  0.166  0.166  0.000
Tl  0.834  0.834  0.000
Sn  0.500  0.500  0.000

This record from Alexandria via LeMat-Bulk describes a relaxed structure of Tb3TlSn3. The functional is PBE.

As for the formation energy: -0.39 eV/atom.

Cell: 8.857 8.857 5.618 Å, 90.00 90.00 120.00°
Positions (direct):
Tb  0.091  0.443  0.250
Tb  0.353  0.909  0.250
Tb  0.443  0.353  0.750
Tb  0.557  0.647  0.250
Tb  0.647  0.091  0.750
Tb  0.909  0.557  0.750
Tl  0.333  0.667  0.750
Tl  0.667  0.333  0.250
Sn  0.050  0.245  0.750
Sn  0.195  0.950  0.750
Sn  0.245  0.195  0.250
Sn  0.755  0.805  0.750
Sn  0.805  0.050  0.250
Sn  0.950  0.755  0.250

This record from Alexandria via LeMat-Bulk describes a relaxed structure of Tb4Tl2Sn. The functional is PBE.

As for the polymorph energy (0 for the lowest one): 115 meV per atom. As for the formation energy: -0.30 eV/atom.

Cell: 9.238 9.238 9.238 Å, 33.25 33.25 33.25°
Positions (direct):
Tb  0.122  0.122  0.122
Tb  0.376  0.376  0.376
Tb  0.624  0.624  0.624
Tb  0.878  0.878  0.878
Tl  0.258  0.258  0.258
Tl  0.742  0.742  0.742
Sn  0.500  0.500  0.500

This record from Alexandria via LeMat-Bulk describes a relaxed structure of Tb6Tl6Sn. The functional is PBE.

As for the formation energy: -0.22 eV/atom.

Cell: 6.534 6.534 10.360 Å, 90.00 90.00 120.00°
Positions (direct):
Tb  0.000  0.000  0.195
Tb  0.000  0.000  0.805
Tb  0.333  0.667  0.000
Tb  0.333  0.667  0.500
Tb  0.667  0.333  0.000
Tb  0.667  0.333  0.500
Tl  0.000  0.500  0.249
Tl  0.000  0.500  0.751
Tl  0.500  0.000  0.249
Tl  0.500  0.000  0.751
Tl  0.500  0.500  0.249
Tl  0.500  0.500  0.751
Sn  0.000  0.000  0.500

This record from Alexandria via LeMat-Bulk describes a relaxed structure of Tb3TlSn2. The functional is PBE.

As for the formation energy: -0.53 eV/atom.

Cell: 8.921 8.921 6.367 Å, 100.72 100.72 41.69°
Positions (direct):
Tb  0.127  0.873  0.750
Tb  0.214  0.443  0.401
Tb  0.443  0.214  0.901
Tb  0.557  0.786  0.099
Tb  0.786  0.557  0.599
Tb  0.873  0.127  0.250
Tl  0.377  0.623  0.250
Tl  0.623  0.377  0.750
Sn  0.054  0.270  0.065
Sn  0.270  0.054  0.565
Sn  0.730  0.946  0.435
Sn  0.946  0.730  0.935

This record from Alexandria via LeMat-Bulk describes a relaxed structure of Tb8Tl2Sn. The functional is PBE.

As for the formation energy: -0.16 eV/atom.

Cell: 8.618 8.618 5.570 Å, 101.30 101.30 118.68°
Positions (direct):
Tb  0.094  0.318  0.615
Tb  0.218  0.782  0.000
Tb  0.318  0.094  0.615
Tb  0.400  0.400  0.203
Tb  0.600  0.600  0.797
Tb  0.682  0.906  0.385
Tb  0.782  0.218  0.000
Tb  0.906  0.682  0.385
Tl  0.306  0.694  0.500
Tl  0.694  0.306  0.500
Sn  0.000  0.000  0.000

This record from Alexandria via LeMat-Bulk describes a relaxed structure of TbTmTlSn. The functional is PBE.

As for the formation energy: -0.43 eV/atom.

Cell: 5.338 5.338 5.338 Å, 60.00 60.00 60.00°
Positions (direct):
Tb  0.000  0.000  0.000
Tm  0.500  0.500  0.500
Tl  0.750  0.750  0.750
Sn  0.250  0.250  0.250

This record from Alexandria via LeMat-Bulk describes a relaxed structure of TbYTlSn. The functional is PBE.

As for the formation energy: -0.47 eV/atom.

Cell: 5.369 5.369 5.369 Å, 60.00 60.00 60.00°
Positions (direct):
Tb  0.000  0.000  0.000
Y  0.500  0.500  0.500
Tl  0.250  0.250  0.250
Sn  0.750  0.750  0.750

This record from Alexandria via LeMat-Bulk describes a relaxed structure of Tb3Tm2Sn3. The functional is PBE.

As for the formation energy: -0.73 eV/atom.

Cell: 8.947 8.947 6.512 Å, 90.00 90.00 120.00°
Positions (direct):
Tb  0.000  0.239  0.250
Tb  0.000  0.761  0.750
Tb  0.239  0.000  0.250
Tb  0.239  0.239  0.750
Tb  0.761  0.000  0.750
Tb  0.761  0.761  0.250
Tm  0.333  0.667  0.000
Tm  0.333  0.667  0.500
Tm  0.667  0.333  0.000
Tm  0.667  0.333  0.500
Sn  0.000  0.397  0.750
Sn  0.000  0.603  0.250
Sn  0.397  0.000  0.750
Sn  0.397  0.397  0.250
Sn  0.603  0.000  0.250
Sn  0.603  0.603  0.750

This record from Alexandria via LeMat-Bulk describes a relaxed structure of Tb2TmSn. The functional is PBE.

As for the polymorph energy (0 for the lowest one): 435 meV per atom. As for the formation energy: 0.02 eV/atom.

Cell: 11.956 11.956 11.956 Å, 16.64 16.64 16.64°
Positions (direct):
Tb  0.094  0.094  0.094
Tb  0.906  0.906  0.906
Tm  0.000  0.000  0.000
Sn  0.500  0.500  0.500

This record from Alexandria via LeMat-Bulk describes a relaxed structure of Tb2TmSn. The functional is PBE.

As for the polymorph energy (0 for the lowest one): 0 meV per atom. As for the formation energy: -0.41 eV/atom.

Cell: 4.790 4.790 4.814 Å, 90.00 90.00 90.00°
Positions (direct):
Tb  0.000  0.500  0.000
Tb  0.500  0.000  0.000
Tm  0.000  0.000  0.500
Sn  0.500  0.500  0.500

This record from Alexandria via LeMat-Bulk describes a relaxed structure of TbTm2Sn. The functional is PBE.

As for the polymorph energy (0 for the lowest one): 117 meV per atom. As for the formation energy: -0.29 eV/atom.

Cell: 3.669 3.669 8.587 Å, 90.00 90.00 90.00°
Positions (direct):
Tb  0.000  0.000  0.000
Tm  0.500  0.500  0.278
Tm  0.500  0.500  0.722
Sn  0.000  0.000  0.500

This record from Alexandria via LeMat-Bulk describes a relaxed structure of TbTm4Sn2. The functional is PBE.

As for the formation energy: 0.45 eV/atom.

Cell: 8.931 8.931 8.931 Å, 145.66 145.66 49.35°
Positions (direct):
Tb  0.000  0.000  0.000
Tm  0.000  0.500  0.500
Tm  0.185  0.185  0.000
Tm  0.500  0.000  0.500
Tm  0.815  0.815  0.000
Sn  0.372  0.372  0.000
Sn  0.628  0.628  0.000

This record from Alexandria via LeMat-Bulk describes a relaxed structure of Tb5Tm2Sn4. The functional is PBE.

As for the formation energy: -0.26 eV/atom.

Cell: 13.038 13.038 7.509 Å, 94.96 94.96 15.51°
Positions (direct):
Tb  0.000  0.000  0.000
Tb  0.353  0.353  0.702
Tb  0.409  0.409  0.264
Tb  0.591  0.591  0.736
Tb  0.647  0.647  0.298
Tm  0.267  0.267  0.295
Tm  0.733  0.733  0.705
Sn  0.173  0.173  0.976
Sn  0.469  0.469  0.654
Sn  0.531  0.531  0.346
Sn  0.827  0.827  0.024

This record from Alexandria via LeMat-Bulk describes a relaxed structure of Tb8TmSn6. The functional is PBE.

As for the formation energy: -0.54 eV/atom.

Cell: 8.338 8.338 8.338 Å, 65.73 65.73 65.73°
Positions (direct):
Tb  0.060  0.728  0.394
Tb  0.167  0.167  0.167
Tb  0.272  0.606  0.940
Tb  0.394  0.060  0.728
Tb  0.606  0.940  0.272
Tb  0.728  0.394  0.060
Tb  0.833  0.833  0.833
Tb  0.940  0.272  0.606
Tm  0.500  0.500  0.500
Sn  0.102  0.433  0.764
Sn  0.236  0.898  0.567
Sn  0.433  0.764  0.102
Sn  0.567  0.236  0.898
Sn  0.764  0.102  0.433
Sn  0.898  0.567  0.236

This record from Alexandria via LeMat-Bulk describes a relaxed structure of TbTm12Sn6. The functional is PBE.

As for the formation energy: -0.37 eV/atom.

Cell: 8.937 8.937 8.937 Å, 110.50 110.50 110.50°
Positions (direct):
Tb  0.000  0.000  0.000
Tm  0.090  0.729  0.185
Tm  0.185  0.090  0.729
Tm  0.203  0.470  0.329
Tm  0.271  0.815  0.910
Tm  0.329  0.203  0.470
Tm  0.470  0.329  0.203
Tm  0.530  0.671  0.797
Tm  0.671  0.797  0.530
Tm  0.729  0.185  0.090
Tm  0.797  0.530  0.671
Tm  0.815  0.910  0.271
Tm  0.910  0.271  0.815
Sn  0.077  0.361  0.577
Sn  0.361  0.577  0.077
Sn  0.423  0.923  0.639
Sn  0.577  0.077  0.361
Sn  0.639  0.423  0.923
Sn  0.923  0.639  0.423

This record from Alexandria via LeMat-Bulk describes a relaxed structure of TbTmSn2. The functional is PBE.

As for the formation energy: -0.61 eV/atom.

Cell: 3.462 3.462 8.756 Å, 90.00 90.00 90.00°
Positions (direct):
Tb  0.000  0.000  0.000
Tm  0.000  0.000  0.500
Sn  0.500  0.500  0.254
Sn  0.500  0.500  0.746

This record from Alexandria via LeMat-Bulk describes a relaxed structure of TbTmSn. The functional is PBE.

As for the formation energy: 0.17 eV/atom.

Cell: 8.978 8.978 8.978 Å, 158.67 158.67 30.34°
Positions (direct):
Tb  0.000  0.000  0.000
Tm  0.196  0.196  0.000
Sn  0.822  0.822  0.000